# BaPdSe2

A relaxed BaPdSe2 crystal (PBEsol, Alexandria via LeMat-Bulk).

The structure in CIF format:
```
data_BaPdSe2
_symmetry_space_group_name_H-M 'R -3 m'
_symmetry_Int_Tables_number 166
_symmetry_space_group_name_Hall '-R 3 2"'
_cell_length_a 3.8863
_cell_length_b 3.8863
_cell_length_c 26.1843
_cell_angle_alpha 90.00
_cell_angle_beta 90.00
_cell_angle_gamma 120.00
loop_
_atom_site_label
_atom_site_fract_x
_atom_site_fract_y
_atom_site_fract_z
Ba1 0.0000 0.0000 0.0000
Pd1 0.0000 0.0000 0.5000
Se1 0.0000 0.0000 0.1201
```

Calculated values
Calculated volume, Å³ per cell: 342.49
Uncorrected formation energy, eV per atom: -0.37
Size of the total moment, μB per formula unit: 0.36